Entry 1:
Below is a geometry-optimized La5Tl2Ga2 structure, with properties calculated at the PBE-GGA level.

```
data_La5Tl2Ga2
_chemical_formula_sum 'La20 Tl8 Ga8'
_symmetry_space_group_name_H-M 'C m c e'
_symmetry_Int_Tables_number 64
_symmetry_space_group_name_Hall '-C 2ac 2'
_cell_length_a 17.0568
_cell_length_b 8.1825
_cell_length_c 8.1423
_cell_angle_alpha 90.00
_cell_angle_beta 90.00
_cell_angle_gamma 90.00
loop_
_atom_site_label
_atom_site_fract_x
_atom_site_fract_y
_atom_site_fract_z
_atom_site_occupancy
La1 0.0000 0.0000 0.0000 1
La2 0.1312 0.1905 0.3218 1
Tl1 0.2208 0.0000 0.0000 1
Ga1 0.0000 0.1111 0.6150 1
```

Calculated values
uncorrected energy	-4.370	eV/atom
E_form	-377	kJ/mol of formula units
density of states at the Fermi level	1.019	states/eV per atom

=====

Entry 2:
Below is a geometry-optimized La6Tl2Ga structure, with properties calculated at the PBE-GGA level.

```
data_La6Tl2Ga
_chemical_formula_sum 'La12 Tl4 Ga2'
_symmetry_space_group_name_H-M 'A m m 2'
_symmetry_Int_Tables_number 38
_symmetry_space_group_name_Hall 'A 2 -2'
_cell_length_a 4.6268
_cell_length_b 14.8936
_cell_length_c 8.6039
_cell_angle_alpha 90.00
_cell_angle_beta 90.00
_cell_angle_gamma 90.00
loop_
_atom_site_label
_atom_site_fract_x
_atom_site_fract_y
_atom_site_fract_z
_atom_site_occupancy
La1 0.0000 0.0000 0.0000 1
La2 0.0000 0.1261 0.6205 1
La3 0.5000 0.0000 0.3422 1
La4 0.5000 0.2025 0.9495 1
Tl1 0.0000 0.1668 0.2470 1
Ga1 0.5000 0.0000 0.7474 1
```

Calculated values
uncorrected energy	-4.488	eV/atom
E_form	-296	kJ/mol of formula units
density of states at the Fermi level	1.279	states/eV per atom

=====

Entry 3:
Below is a geometry-optimized LaTl2Ga structure, with properties calculated at the PBE-GGA level.

```
data_LaTl2Ga
_chemical_formula_sum 'La3 Tl6 Ga3'
_symmetry_space_group_name_H-M 'R -3 m'
_symmetry_Int_Tables_number 166
_symmetry_space_group_name_Hall '-R 3 2"'
_cell_length_a 3.5038
_cell_length_b 3.5038
_cell_length_c 34.1607
_cell_angle_alpha 90.00
_cell_angle_beta 90.00
_cell_angle_gamma 120.00
loop_
_atom_site_label
_atom_site_fract_x
_atom_site_fract_y
_atom_site_fract_z
_atom_site_occupancy
La1 0.0000 0.0000 0.0000 1
Tl1 0.0000 0.0000 0.0961 1
Ga1 0.0000 0.0000 0.5000 1
```

Calculated values
uncorrected energy	-3.045	eV/atom
E_form	49	kJ/mol of formula units
density of states at the Fermi level	0.709	states/eV per atom
excess energy over the best structure of this formula in the dataset	0.496	eV per atom

=====

Entry 4:
Below is a geometry-optimized La2TlGa structure, with properties calculated at the PBE-GGA level.

```
data_La2TlGa
_chemical_formula_sum 'La8 Tl4 Ga4'
_symmetry_space_group_name_H-M 'F m -3 m'
_symmetry_Int_Tables_number 225
_symmetry_space_group_name_Hall '-F 4 2 3'
_cell_length_a 7.7789
_cell_length_b 7.7789
_cell_length_c 7.7789
_cell_angle_alpha 90.00
_cell_angle_beta 90.00
_cell_angle_gamma 90.00
loop_
_atom_site_label
_atom_site_fract_x
_atom_site_fract_y
_atom_site_fract_z
_atom_site_occupancy
La1 0.2500 0.2500 0.2500 1
Tl1 0.0000 0.0000 0.0000 1
Ga1 0.0000 0.0000 0.5000 1
```

Calculated values
uncorrected energy	-4.280	eV/atom
E_form	-181	kJ/mol of formula units
density of states at the Fermi level	0.678	states/eV per atom
excess energy over the best structure of this formula in the dataset	0.027	eV per atom

=====

Total magnetic moment
In order: 0.00, 3.48, 0.00, 0.00
Unit: μB per cell